Record 1
The following is a DFT calculation (PBE-GGA) of a geometry-optimized RbSe4 structure.

```
5
Lattice="-2.722 -3.341 4.750 1.277 -5.461 -3.110 5.665 -0.374 2.983" Properties=species:S:1:pos:R:3 pbc="T T T"
Se 0.000 0.000 0.000
Se 1.472 -1.858 3.867
Se 3.471 -2.918 -0.063
Se -0.722 -4.401 0.820
Rb 2.110 -4.588 2.311
```

Results
Energy above the lowest structure with this stoichiometry = 1575 meV/atom
ΔE_f (raw) = 1206 meV/atom

Record 2
The following is a DFT calculation (PBE-GGA) of a geometry-optimized SnPbS2 structure.

```
4
Lattice="-2.391 -4.475 -0.448 -1.574 -2.474 4.164 -4.976 -0.343 1.029" Properties=species:S:1:pos:R:3 pbc="T T T"
Pb -4.471 -3.646 2.373
S -2.235 -1.823 1.186
S -6.706 -5.469 3.559
Sn 0.000 0.000 0.000
```

Results
Energy above the lowest structure with this stoichiometry = 280 meV/atom
ΔE_f (raw) = -201 meV/atom

Record 3
The following is a DFT calculation (PBE-GGA) of a geometry-optimized Tb6Pm3Pr2Sm structure.

```
12
Lattice="6.272 0.000 0.006 -3.135 5.432 0.006 -1.055 -1.827 11.729" Properties=species:S:1:pos:R:3 pbc="T T T"
Tb 3.128 1.801 8.796
Tb 2.090 3.619 2.952
Tb -1.046 1.804 2.946
Tb -0.003 3.610 8.796
Tb -0.008 -0.014 8.789
Tb 2.085 -0.005 2.946
Pm -2.095 3.614 5.871
Pm 4.177 -0.009 5.871
Pm 1.041 1.802 5.871
Pr 0.001 3.621 0.006
Pr 3.136 1.810 0.006
Sm 0.000 0.000 0.000
```

Results
Energy relative to the elements = 0.14 eV/f.u.

Record 4
The following is a DFT calculation (PBE-GGA) of a geometry-optimized AlOs structure.

```
8
Lattice="-2.896 3.585 1.509 1.246 -0.927 4.594 3.685 3.131 -0.368" Properties=species:S:1:pos:R:3 pbc="T T T"
Al 3.789 2.622 2.558
Al 0.820 2.332 2.310
Al -0.293 5.017 1.589
Al -0.246 1.609 5.013
Os 2.226 2.483 4.455
Os 0.223 0.635 0.629
Os 2.001 4.612 2.386
Os -0.380 3.849 4.001
```

Results
Energy relative to the elements = -0.57 eV/f.u.

Record 5
The following is a DFT calculation (PBE-GGA) of a geometry-optimized YTi2Re structure.

```
8
Lattice="-4.029 1.518 6.231 4.008 -5.149 3.845 1.929 0.253 5.788" Properties=species:S:1:pos:R:3 pbc="T T T"
Y -0.010 -1.816 5.038
Y 2.963 -3.356 7.336
Re 0.000 0.000 0.000
Re -1.055 -0.022 8.529
Ti -1.777 0.459 6.197
Ti 2.726 -3.056 4.255
Ti 1.198 -0.862 7.889
Ti 1.669 -3.297 13.389
```

Results
Energy above the lowest structure with this stoichiometry = 454 meV/atom
Energy relative to the elements = 1.53 eV/f.u.

Values of total magnetization, in order: 7.0; 0.0; 0.0; 0.0; 0.0, all in μB per formula unit.
Values of mass density, in order: 2.5; 6.9; 7.6; 12.7; 7.3, all in g/cm³.
Values of E_tot, in order: -1.78; -4.19; -4.68; -7.77; -8.29, all in eV per atom.